Density functional theory data (PBE) for a geometry-optimized HfMnAs structure.

Structure (POSCAR):
```
HfMnAs
1.0
6.619 0.000 0.000
-3.310 5.733 0.000
0.000 0.000 3.625
Hf Mn As
3 3 3
direct
0.000 0.590 0.000 Hf
0.410 0.410 0.000 Hf
0.590 0.000 0.000 Hf
0.000 0.245 0.500 Mn
0.245 0.000 0.500 Mn
0.755 0.755 0.500 Mn
0.000 0.000 0.000 As
0.333 0.667 0.500 As
0.667 0.333 0.500 As
```

## Properties
calculated density = 11.17 g/cm3
space-group type = No. 189
formation energy from the elements = -62.7 kJ per mole of atoms
calculated total energy = -25.72 eV per formula unit
size of the total moment = 0.204 μB/atom
volume = 15.28 A^3/atom

***

Density functional theory data (PBE) for a geometry-optimized RePt2Br structure.

Structure (POSCAR):
```
RePt2Br
1.0
2.852 0.000 0.000
0.000 4.778 0.000
0.000 0.000 4.913
Re Pt Br
1 2 1
direct
0.000 0.000 0.000 Re
0.000 0.500 0.500 Pt
0.500 0.000 0.500 Pt
0.500 0.500 0.000 Br
```

## Properties
calculated density = 16.27 g/cm3
space-group type = No. 47
calculated total energy = -22.55 eV per formula unit
excess energy over the best structure of this formula in the dataset = 686.3 meV/atom
formation energy (no corrections) = 0.91 eV/atom
size of the total moment = 0.351 μB/atom
volume = 16.74 A^3/atom

***

Density functional theory data (PBE) for a geometry-optimized AcMg2AlCd4 structure.

Structure (POSCAR):
```
AcMg2AlCd4
1.0
2.432 1.404 9.719
-2.432 1.404 9.719
0.000 -2.808 9.719
Ac Mg Al Cd
1 2 1 4
direct
0.000 0.000 0.000 Ac
0.240 0.240 0.240 Mg
0.760 0.760 0.760 Mg
0.500 0.500 0.500 Al
0.130 0.130 0.130 Cd
0.400 0.400 0.400 Cd
0.600 0.600 0.600 Cd
0.870 0.870 0.870 Cd
```

## Properties
calculated density = 6.27 g/cm3
space-group type = No. 166
formation energy from the elements = -12.2 kJ per mole of atoms
calculated total energy = -15.71 eV per formula unit
size of the total moment = 0.000 μB/atom
volume = 24.89 A^3/atom

***

> calculated total energy of number 1 (HfMnAs)?

-25.72 eV per formula unit

***

> The lowest calculated total energy belongs to which entry?

HfMnAs

***

> The highest size of the total moment belongs to which entry?

RePt2Br